Arrangement i

Entry from the Alexandria database: an optimized crystal structure of AcAgRh (PBE).

**Crystal system**: orthorhombic

```
AcAgRh
1.0
-3.0938 -2.6979 0.0639
1.7323 -1.9143 3.0505
-5.3046 6.1842 4.2755
Ac Ag Rh
2 2 2
direct
0.2500 0.9002 0.8005 Ac
0.7500 0.0998 0.1995 Ac
0.7500 0.2868 0.5737 Ag
0.2500 0.7132 0.4263 Ag
0.2500 0.5507 0.1013 Rh
0.7500 0.4493 0.8987 Rh
```

=====

Arrangement ii

Entry from the Alexandria database: an optimized crystal structure of AcAgRh (PBE).

**Crystal system**: triclinic

```
AcAgRh
1.0
4.2634 0.0024 -0.0001
2.1315 5.2753 0.6546
-0.0004 3.2793 6.8579
Ac Ag Rh
2 2 2
direct
0.2302 0.8324 0.4827 Ac
0.3642 0.5608 0.1129 Ac
0.9828 0.3254 0.8688 Ag
0.6116 0.0678 0.7267 Ag
0.6534 0.9852 0.1355 Rh
0.9411 0.4079 0.4600 Rh
```

=====

arrangement ii ends up most stable, edging out the next structure by 0.5 kJ/mol of atoms.